## Mg2RhPb (PBE)

Data for Mg2RhPb after structural relaxation.

extended XYZ file:
```
4
Lattice="-2.138 2.138 4.207 2.138 -2.138 4.207 2.138 2.138 -4.207" Properties=species:S:1:pos:R:3 pbc="T T T"
Mg 2.138 0.000 2.104
Mg 0.000 2.138 2.104
Rh 0.000 0.000 0.000
Pb 0.000 0.000 4.207
```

## Properties
For the total magnetic moment, the calculation gives 0.0 μB per formula unit. As for the symmetry: I4/mmm (139). The density of states at the Fermi level is 1.73 states/eV/f.u. The calculation puts the uncorrected energy at -3.73 eV/atom.